La2ZrNb after structural relaxation, computed with PBE.

Cell: 8.491 8.491 6.748 Å, 51.02 51.02 90.00°
Fractional coordinates of all 8 atoms:
Nb1 0.000 0.000 0.000
Nb2 0.750 0.250 0.500
Zr1 0.500 0.500 0.000
Zr2 0.250 0.750 0.500
La1 0.648 0.125 0.250
La2 0.102 0.625 0.250
La3 0.375 0.352 0.750
La4 0.875 0.898 0.750

Values from the calculation:
Theoretical density in Mg/m³: 6.9
Symmetry: No. 122
ΔE to the lowest computed polymorph in meV per atom: 301
DFT formation energy in eV/f.u.: 3.04
Crystal system: tetragonal
Raw total energy in eV per atom: -6.36

LaNd after structural relaxation, computed with PBE.

Cell: 3.598 5.771 7.180 Å, 90.00 104.62 90.00°
Fractional coordinates of all 4 atoms:
Nd1 0.815 0.750 0.130
Nd2 0.185 0.250 0.870
La1 0.562 0.750 0.624
La2 0.438 0.250 0.376

Values from the calculation:
Theoretical density in Mg/m³: 6.5
Symmetry: No. 11
ΔE to the lowest computed polymorph in meV per atom: 37
DFT formation energy in eV/f.u.: 0.10
Crystal system: monoclinic
Raw total energy in eV per atom: -4.80

La4Nd after structural relaxation, computed with PBE.

Cell: 3.716 3.716 13.414 Å, 97.96 97.96 90.00°
Fractional coordinates of all 5 atoms:
La1 0.599 0.599 0.199
La2 0.199 0.199 0.398
La3 0.801 0.801 0.602
La4 0.401 0.401 0.801
Nd1 0.000 0.000 0.000

Values from the calculation:
Theoretical density in Mg/m³: 6.4
Symmetry: No. 139
ΔE to the lowest computed polymorph in meV per atom: 2
DFT formation energy in eV/f.u.: 0.07
Crystal system: tetragonal
Raw total energy in eV per atom: -4.88